Crystalline NpMnCu2O8 at its relaxed geometry. Source: Alexandria, functional PBE+U.

CIF file:
```
data_NpMnCu2O8
_chemical_formula_sum 'Np2 Mn2 Cu4 O16'
_symmetry_space_group_name_H-M 'I -4 m 2'
_symmetry_Int_Tables_number 119
_symmetry_space_group_name_Hall 'I -4 -2'
_cell_length_a 6.473
_cell_length_b 6.473
_cell_length_c 6.900
_cell_angle_alpha 90.00
_cell_angle_beta 90.00
_cell_angle_gamma 90.00
loop_
_atom_site_label
_atom_site_type_symbol
_atom_site_fract_x
_atom_site_fract_y
_atom_site_fract_z
Np1 Np 0.000 0.000 0.000
Mn1 Mn 0.000 0.500 0.750
Cu1 Cu 0.000 0.000 0.500
Cu2 Cu 0.000 0.500 0.250
O1 O 0.000 0.198 0.703
O2 O 0.000 0.299 0.055
```

Values from the calculation:
Its final energy is -6.85 eV/atom. The density of states at the Fermi level is 0.73 states/eV/atom. The value obtained for the total magnetization is 0.11 μB per formula unit.